1.
## CaZnAgGe (PBE)

Data for an optimized crystal structure of CaZnAgGe.

Lattice parameters (Å, degrees): 6.8192 6.8192 6.8192 90.00 90.00 90.00
Space group F-43m (No. 216)
Unique sites:
1 Ca 0.0000 0.0000 0.0000 (multiplicity 4)
2 Zn 0.2500 0.2500 0.7500 (multiplicity 4)
3 Ag 0.0000 0.0000 0.5000 (multiplicity 4)
4 Ge 0.2500 0.2500 0.2500 (multiplicity 4)

## Properties
DFT formation energy in eV per atom: -0.1823
Volume in Å³/atom: 19.82
Magnetization in μB per atom: 0.000

=====

2.
## Ca2Zn4AgGe3 (PBE)

Data for an optimized crystal structure of Ca2Zn4AgGe3.

Lattice parameters (Å, degrees): 4.2152 4.2152 11.0637 90.00 90.00 90.00
Space group P-4m2 (No. 115)
Unique sites:
1 Ca 0.0000 0.5000 0.2463 (multiplicity 2)
2 Zn 0.0000 0.0000 0.0000 (multiplicity 1)
3 Zn 0.0000 0.5000 0.6403 (multiplicity 2)
4 Zn 0.5000 0.5000 0.0000 (multiplicity 1)
5 Ag 0.0000 0.0000 0.5000 (multiplicity 1)
6 Ge 0.0000 0.5000 0.8625 (multiplicity 2)
7 Ge 0.5000 0.5000 0.5000 (multiplicity 1)

## Properties
DFT formation energy in eV per atom: -0.3241
Volume in Å³/atom: 19.66
Magnetization in μB per atom: 0.000

=====

3.
## Ca2ZnAg6Ge (PBE)

Data for an optimized crystal structure of Ca2ZnAg6Ge.

Lattice parameters (Å, degrees): 9.8650 9.8650 9.8650 90.00 90.00 90.00
Space group Fm-3m (No. 225)
Unique sites:
1 Ca 0.2500 0.2500 0.2500 (multiplicity 8)
2 Zn 0.0000 0.0000 0.0000 (multiplicity 4)
3 Ag 0.0000 0.0000 0.2482 (multiplicity 24)
4 Ge 0.0000 0.0000 0.5000 (multiplicity 4)

## Properties
DFT formation energy in eV per atom: 0.0157
Volume in Å³/atom: 24.00
Magnetization in μB per atom: 0.000

=====

4.
## Ca4AgH (PBE)

Data for an optimized crystal structure of Ca4AgH.

Lattice parameters (Å, degrees): 6.1665 9.5910 6.2137 90.00 97.86 90.00
Space group P2_1/m (No. 11)
Unique sites:
1 Ca 0.1591 0.2500 0.2707 (multiplicity 2)
2 Ca 0.2342 0.7500 0.3467 (multiplicity 2)
3 Ca 0.2762 0.0467 0.7813 (multiplicity 4)
4 Ag 0.3873 0.7500 0.8916 (multiplicity 2)
5 H 0.1308 0.2500 0.6311 (multiplicity 2)

## Properties
Polymorph energy (0 for the lowest one) in meV/atom: 0
Volume in Å³/atom: 30.34
Magnetization in μB per atom: 0.000

=====

5.
## Ca3AgH (PBE)

Data for an optimized crystal structure of Ca3AgH.

Lattice parameters (Å, degrees): 5.7519 5.7519 5.7519 90.00 90.00 90.00
Space group Pm-3m (No. 221)
Unique sites:
1 Ca 0.0000 0.0000 0.5000 (multiplicity 3)
2 Ag 0.0000 0.0000 0.0000 (multiplicity 1)
3 H 0.5000 0.5000 0.5000 (multiplicity 1)

## Properties
Polymorph energy (0 for the lowest one) in meV/atom: 643
Volume in Å³/atom: 38.06
Magnetization in μB per atom: 0.000

=====

6.
## Ca4AgH (PBE)

Data for an optimized crystal structure of Ca4AgH.

Lattice parameters (Å, degrees): 8.2772 6.9288 6.5963 90.00 90.00 90.00
Space group Pmn2_1 (No. 31)
Unique sites:
1 Ca 0.0000 0.1562 0.0000 (multiplicity 2)
2 Ca 0.0000 0.8419 0.5430 (multiplicity 2)
3 Ca 0.2276 0.3065 0.5228 (multiplicity 4)
4 Ag 0.0000 0.5194 0.2439 (multiplicity 2)
5 H 0.0000 0.1566 0.6514 (multiplicity 2)

## Properties
Polymorph energy (0 for the lowest one) in meV/atom: 19
Volume in Å³/atom: 31.53
Magnetization in μB per atom: 0.000